1.
The following is a PBE calculation of a relaxed Y6PbSe3S2 crystal, from Alexandria.

Properties
Energy relative to the elements, uncorrected   -1.615 eV per atom
Space group   No. 12
Fermi-level density of states   4.46 states/eV per cell
V   294 Å³ per cell

Cell lengths 4.074, 8.275, 9.197 Å; angles 103.31, 102.80, 90.00 degrees
Element x y z (fractional)
Y 0.328 0.892 0.655
Y 0.673 0.573 0.347
Y 0.672 0.108 0.345
Y 0.008 0.266 0.016
Y 0.992 0.734 0.984
Y 0.327 0.427 0.653
Pb 0.500 0.000 0.000
Se 0.500 0.500 0.000
Se 0.836 0.167 0.673
Se 0.164 0.833 0.327
S 0.831 0.662 0.663
S 0.169 0.338 0.337

---

2.
The following is a PBE calculation of a relaxed Y4PbSeS2 crystal, from Alexandria.

Properties
Energy relative to the elements, uncorrected   -1.542 eV per atom
Space group   No. 10
Fermi-level density of states   3.79 states/eV per cell
V   195 Å³ per cell

Cell lengths 4.006, 7.203, 7.145 Å; angles 71.27, 90.00, 90.00 degrees
Element x y z (fractional)
Y 0.000 0.779 0.730
Y 0.000 0.221 0.270
Y 0.500 0.771 0.249
Y 0.500 0.229 0.751
Pb 0.500 0.500 0.000
Se 0.000 0.500 0.500
S 0.000 0.000 0.000
S 0.500 0.000 0.500

---

Question: Which formula does entry 2 have?
Answer: Y4PbSeS2

---

Question: energy relative to the elements, uncorrected of number 1 (Y6PbSe3S2)?
Answer: -1.615 eV per atom

---

Repeat the second record exactly.
The following is a PBE calculation of a relaxed Y4PbSeS2 crystal, from Alexandria.

Properties
Energy relative to the elements, uncorrected   -1.542 eV per atom
Space group   No. 10
Fermi-level density of states   3.79 states/eV per cell
V   195 Å³ per cell

Cell lengths 4.006, 7.203, 7.145 Å; angles 71.27, 90.00, 90.00 degrees
Element x y z (fractional)
Y 0.000 0.779 0.730
Y 0.000 0.221 0.270
Y 0.500 0.771 0.249
Y 0.500 0.229 0.751
Pb 0.500 0.500 0.000
Se 0.000 0.500 0.500
S 0.000 0.000 0.000
S 0.500 0.000 0.500

---

Question: Which value of V does entry 1 give?
Answer: 294 Å³ per cell